[1]
The following is a DFT calculation (PBE-GGA) of an optimized crystal structure of LiTlCuAg.

The calculation puts the volume at 17.05 Å³/atom. The value obtained for the density of states at the Fermi level is 0.479 states/eV per atom. Its total energy is -45.5 eV per cell. The size of the total moment comes out at 0.000 μB/cell.

It has space group F-43m (No. 216), with a = 6.4856 Å, b = 6.4856 Å, c = 6.4856 Å, α = 90.00°, β = 90.00° and γ = 90.00°. Symmetry generates all atoms from Li at (0.0000, 0.0000, 0.0000), Tl at (0.2500, 0.2500, 0.2500), Cu at (0.0000, 0.0000, 0.5000) and Ag at (0.2500, 0.2500, 0.7500).

=====

[2]
The following is a DFT calculation (PBE-GGA) of an optimized crystal structure of LiYCuAg.

The calculation puts the volume at 19.66 Å³/atom. The value obtained for the density of states at the Fermi level is 0.570 states/eV per atom. Its total energy is -63.5 eV per cell. The size of the total moment comes out at 0.000 μB/cell.

It has space group F-43m (No. 216), with a = 6.8006 Å, b = 6.8006 Å, c = 6.8006 Å, α = 90.00°, β = 90.00° and γ = 90.00°. Symmetry generates all atoms from Li at (0.0000, 0.0000, 0.0000), Y at (0.0000, 0.0000, 0.5000), Cu at (0.2500, 0.2500, 0.7500) and Ag at (0.2500, 0.2500, 0.2500).

=====

[3]
The following is a DFT calculation (PBE-GGA) of an optimized crystal structure of Li2Zn2Cu2Ag.

The calculation puts the volume at 14.07 Å³/atom. The value obtained for the density of states at the Fermi level is 0.318 states/eV per atom. Its total energy is -36.6 eV per cell. The size of the total moment comes out at 0.000 μB/cell.

It has space group C2/m (No. 12), with a = 8.5144 Å, b = 3.8825 Å, c = 6.0212 Å, α = 90.00°, β = 98.30° and γ = 90.00°. Symmetry generates all atoms from Li at (0.0747, 0.0000, 0.2071), Zn at (0.2138, 0.0000, 0.6665), Cu at (0.1452, 0.5000, 0.9360) and Ag at (0.0000, 0.5000, 0.5000).